1.
## TcNi2Rh (GGA-PBE)

Data for a relaxed TcNi2Rh crystal.

The structure in extended XYZ format:
```
4
Lattice="-6.030 -6.072 0.733 -4.733 -7.035 -1.370 -3.880 -7.586 1.080" Properties=species:S:1:pos:R:3 pbc="T T T"
Rh -3.661 -5.173 0.111
Ni -0.019 -0.027 0.001
Ni -7.302 -10.319 0.220
Tc -10.982 -15.519 0.332
```

Values from the calculation:
relative energy among the computed polymorphs: 128.0 meV/atom
DFT total energy: -7.22 eV per atom
DOS(E_F): 5.98 states/eV/f.u.
total magnetization: 0.92 μB/cell

***

2.
## TcNi6Rh3 (GGA-PBE)

Data for a relaxed TcNi6Rh3 crystal.

The structure in extended XYZ format:
```
20
Lattice="-5.151 3.068 -2.270 -0.104 -3.405 -5.432 -4.091 -4.339 2.353" Properties=species:S:1:pos:R:3 pbc="T T T"
Rh -4.240 0.658 -2.604
Tc 0.000 0.000 0.000
Ni -3.321 -1.066 -4.279
Ni -8.482 -3.634 -3.197
Ni -0.865 -1.041 -2.152
Ni -6.960 -5.093 -4.581
Ni -3.960 -3.851 -4.470
Ni -2.387 0.418 -0.768
Tc -4.673 -2.338 -2.674
Ni -6.070 -0.571 -3.648
Rh -5.175 -1.901 -5.629
Rh -4.172 -2.775 0.280
Ni -1.725 -1.866 0.071
Rh -1.857 -3.020 -3.552
Rh -5.107 -5.334 -2.745
Ni -5.387 -0.825 -0.879
Ni -3.277 -4.105 -1.700
Ni -7.622 -2.809 -5.420
Rh -7.490 -1.656 -1.796
Ni -6.026 -3.610 -1.069
```

Values from the calculation:
DFT total energy: -6.48 eV per atom
DOS(E_F): 16.48 states/eV/f.u.
total magnetization: 9.29 μB/cell

***

3.
## TcNi2Rh8 (GGA-PBE)

Data for a relaxed TcNi2Rh8 crystal.

The structure in extended XYZ format:
```
11
Lattice="-2.909 -1.709 2.747 3.520 -5.131 -2.108 3.374 4.155 4.035" Properties=species:S:1:pos:R:3 pbc="T T T"
Rh 1.345 -0.987 0.783
Rh 0.110 1.120 5.553
Rh 2.641 -1.698 3.890
Ni 1.686 -3.144 1.952
Rh 1.264 -3.580 -0.464
Rh 3.813 -2.155 1.375
Rh 0.173 -0.529 3.298
Tc -1.454 -0.854 1.373
Ni 2.299 0.459 2.720
Rh -0.653 -3.259 1.102
Rh 3.875 -3.804 -0.880
```

Values from the calculation:
DFT total energy: -7.07 eV per atom
DOS(E_F): 17.26 states/eV/f.u.
total magnetization: 0.00 μB/cell

***

4.
## Tc2Ni7Rh2 (GGA-PBE)

Data for a relaxed Tc2Ni7Rh2 crystal.

The structure in extended XYZ format:
```
11
Lattice="-1.302 4.530 1.717 -5.880 0.027 -1.064 -1.843 -0.968 4.564" Properties=species:S:1:pos:R:3 pbc="T T T"
Tc -3.272 1.572 2.414
Tc -5.753 2.017 2.803
Rh -1.417 3.366 2.320
Ni -4.036 3.692 3.572
Ni -4.989 -0.103 1.645
Ni -4.258 1.430 4.744
Ni -0.994 0.948 1.642
Ni -4.766 2.159 0.473
Rh -1.728 0.196 3.962
Ni -2.940 0.013 -0.532
Ni -8.031 2.641 3.575
```

Values from the calculation:
DFT total energy: -6.70 eV per atom
DOS(E_F): 17.88 states/eV/f.u.
total magnetization: 1.18 μB/cell

***

5.
## TcNi2Rh (GGA-PBE)

Data for a relaxed TcNi2Rh crystal.

The structure in extended XYZ format:
```
4
Lattice="-0.352 1.954 -1.734 -4.440 0.228 1.157 -2.007 2.979 3.764" Properties=species:S:1:pos:R:3 pbc="T T T"
Ni -2.396 1.091 -0.288
Tc -1.003 1.489 1.882
Rh -3.399 2.581 1.594
Ni 0.000 0.000 0.000
```

Values from the calculation:
relative energy among the computed polymorphs: 105.8 meV/atom
DFT total energy: -7.24 eV per atom
DOS(E_F): 6.31 states/eV/f.u.
total magnetization: 0.00 μB/cell

***

6.
## TcNiRh2 (GGA-PBE)

Data for a relaxed TcNiRh2 crystal.

The structure in extended XYZ format:
```
4
Lattice="2.707 0.000 0.000 0.000 4.553 0.000 0.000 0.000 4.491" Properties=species:S:1:pos:R:3 pbc="T T T"
Tc 1.353 0.000 2.245
Ni 0.000 2.276 2.245
Rh 0.000 0.000 0.000
Rh 1.353 2.276 0.000
```

Values from the calculation:
relative energy among the computed polymorphs: 298.8 meV/atom
DFT total energy: -7.47 eV per atom
DOS(E_F): 6.40 states/eV/f.u.
total magnetization: 0.43 μB/cell

***

7.
## TcNiRh2 (GGA-PBE)

Data for a relaxed TcNiRh2 crystal.

The structure in extended XYZ format:
```
4
Lattice="4.640 0.009 -0.007 3.866 2.564 -0.007 0.757 0.229 4.559" Properties=species:S:1:pos:R:3 pbc="T T T"
Rh 8.500 2.572 -0.005
Rh 4.638 1.403 2.265
Ni 2.316 0.701 1.136
Tc 6.947 2.102 3.409
```

Values from the calculation:
relative energy among the computed polymorphs: 41.3 meV/atom
DFT total energy: -7.73 eV per atom
DOS(E_F): 5.92 states/eV/f.u.
total magnetization: 0.00 μB/cell

***

8.
## TcNi2Rh (GGA-PBE)

Data for a relaxed TcNi2Rh crystal.

The structure in extended XYZ format:
```
8
Lattice="-5.560 3.453 0.872 -3.319 -4.438 -3.589 -4.935 -1.820 0.741" Properties=species:S:1:pos:R:3 pbc="T T T"
Rh 0.000 0.000 0.000
Ni -11.432 -2.175 -1.780
Tc -4.440 -0.492 -1.359
Ni -5.059 1.108 0.272
Tc -6.347 -3.375 -2.104
Ni -7.069 -1.786 -0.505
Rh -7.467 0.570 0.127
Ni -4.068 -2.757 -1.939
```

Values from the calculation:
relative energy among the computed polymorphs: 591.3 meV/atom
DFT total energy: -6.76 eV per atom
DOS(E_F): 6.26 states/eV/f.u.
total magnetization: 0.00 μB/cell

***

9.
## TcNi2Rh (GGA-PBE)

Data for a relaxed TcNi2Rh crystal.

The structure in extended XYZ format:
```
4
Lattice="-0.490 2.304 -3.456 -3.763 1.548 -0.966 -0.713 4.110 0.310" Properties=species:S:1:pos:R:3 pbc="T T T"
Ni -1.241 1.990 -1.028
Ni -4.253 3.852 -4.422
Tc -2.483 3.981 -2.056
Rh -3.724 5.971 -3.084
```

Values from the calculation:
relative energy among the computed polymorphs: 228.8 meV/atom
DFT total energy: -7.12 eV per atom
DOS(E_F): 6.14 states/eV/f.u.
total magnetization: 0.94 μB/cell

***

10.
## TcNi3Rh3 (GGA-PBE)

Data for a relaxed TcNi3Rh3 crystal.

The structure in extended XYZ format:
```
14
Lattice="2.624 0.000 0.000 0.000 9.578 0.000 0.000 -4.789 8.295" Properties=species:S:1:pos:R:3 pbc="T T T"
Ni 0.656 4.301 6.344
Rh 0.656 6.186 4.675
Ni 0.656 1.934 0.552
Rh 1.968 -1.397 3.620
Rh 1.968 -0.956 7.695
Ni 0.656 8.133 1.398
Rh 0.656 5.745 0.600
Tc 0.656 4.789 2.765
Rh 0.656 2.436 3.020
Ni 1.968 2.855 7.742
Ni 1.968 0.488 1.951
Ni 1.968 -3.344 6.896
Rh 1.968 2.353 5.275
Tc 1.968 0.000 5.530
```

Values from the calculation:
relative energy among the computed polymorphs: 211.7 meV/atom
DFT total energy: -6.69 eV per atom
DOS(E_F): 9.82 states/eV/f.u.
total magnetization: 3.57 μB/cell

***

11.
## TcNi5Rh6 (GGA-PBE)

Data for a relaxed TcNi5Rh6 crystal.

The structure in extended XYZ format:
```
12
Lattice="4.510 -0.029 0.103 -0.013 4.938 2.024 0.091 0.019 6.990" Properties=species:S:1:pos:R:3 pbc="T T T"
Ni 1.512 4.131 4.006
Ni -0.007 2.469 1.012
Tc 0.000 0.000 0.000
Ni 3.076 0.797 5.111
Rh 2.342 1.262 7.556
Ni 1.533 1.638 3.049
Rh 0.807 2.077 5.514
Rh 3.781 2.851 3.603
Rh 0.801 4.531 6.520
Rh 2.246 3.666 1.561
Ni 3.055 3.290 6.068
Rh 3.787 0.397 2.597
```

Values from the calculation:
DFT total energy: -6.93 eV per atom
DOS(E_F): 19.85 states/eV/f.u.
total magnetization: 0.00 μB/cell

***

12.
## TcNi3Rh3 (GGA-PBE)

Data for a relaxed TcNi3Rh3 crystal.

The structure in extended XYZ format:
```
28
Lattice="-4.437 -5.586 1.471 3.919 -4.274 -4.407 4.243 -1.893 5.609" Properties=species:S:1:pos:R:3 pbc="T T T"
Ni 2.398 -7.566 1.721
Ni 2.616 -4.225 4.693
Tc 1.057 -7.569 -1.873
Ni 2.015 -6.732 4.183
Rh -1.215 -4.145 0.779
Rh 2.266 -6.058 -0.289
Rh 2.100 -2.631 2.817
Ni 0.582 -1.836 0.418
Ni 0.287 -8.169 0.277
Ni -0.278 -4.042 3.215
Ni 4.566 -6.769 0.468
Ni -1.793 -6.577 0.496
Rh 4.358 -9.109 1.390
Rh 2.981 -5.218 2.410
Ni 3.925 -3.205 1.038
Rh 0.292 -6.197 1.853
Rh 2.364 -3.475 -1.264
Rh 2.831 -9.070 3.692
Tc 1.279 -4.036 0.918
Rh 4.670 -3.344 3.538
Ni 3.584 -11.306 2.572
Rh 1.730 -9.958 1.318
Rh -2.252 -5.704 2.811
Tc 5.457 -5.278 2.068
Ni 0.220 -4.952 -1.478
Ni 4.230 -5.137 -1.564
Rh 2.228 -5.609 -3.014
Tc -0.343 -6.623 4.234
```

Values from the calculation:
relative energy among the computed polymorphs: 0.0 meV/atom
DFT total energy: -6.90 eV per atom
DOS(E_F): 11.13 states/eV/f.u.
total magnetization: 6.31 μB/cell

***

Q: Which value of DFT total energy does entry 2 give?
A: -6.48 eV per atom

***

Q: The lowest DFT total energy belongs to which entry?
A: number 7